# 1
NbPbN2 | GGA-PBE | relaxed

Unit cell a=3.2120 b=3.2120 c=21.3317 alpha=90.00 beta=90.00 gamma=120.00
Space group R-3m (No. 166, hexagonal axes)
Inequivalent atoms, fractional coordinates:
1 Nb 0.0000 0.0000 0.0000 (multiplicity 3)
2 Pb 0.0000 0.0000 0.5000 (multiplicity 3)
3 N 0.0000 0.0000 0.3833 (multiplicity 6)

Computed properties:
- Raw formation energy: -0.302 eV per atom
- Calculated total energy: -94.915 eV/cell
- Crystal system: trigonal

# 2
Li3GaPd6 | GGA-PBE | relaxed

Unit cell a=10.6451 b=10.6451 c=9.5043 alpha=90.00 beta=90.00 gamma=120.00
Space group R-3m (No. 166, hexagonal axes)
Inequivalent atoms, fractional coordinates:
1 Li 0.0954 0.1908 0.2544 (multiplicity 18)
2 Ga 0.0000 0.0000 0.0000 (multiplicity 3)
3 Ga 0.0000 0.0000 0.5000 (multiplicity 3)
4 Pd 0.0000 0.2551 0.5000 (multiplicity 18)
5 Pd 0.0625 0.5313 0.6194 (multiplicity 18)

Computed properties:
- Calculated total energy: -259.637 eV/cell
- Excess energy over the best structure of this formula in the dataset: 108 kJ/mol of formula units
- Crystal system: trigonal
- DFT formation energy: -0.335 eV/atom

# 3
Ba6AsP2 | GGA-PBE | relaxed

Unit cell a=17.1586 b=4.6516 c=12.5923 alpha=90.00 beta=112.27 gamma=90.00
Space group C2/m (No. 12)
Inequivalent atoms, fractional coordinates:
1 Ba 0.1187 0.0000 0.2641 (multiplicity 4)
2 Ba 0.1398 0.0000 0.6599 (multiplicity 4)
3 Ba 0.1403 0.5000 0.9994 (multiplicity 4)
4 As 0.0000 0.0000 0.0000 (multiplicity 2)
5 P 0.2324 0.5000 0.8154 (multiplicity 4)

Computed properties:
- Calculated total energy: -67.656 eV/cell
- Excess energy over the best structure of this formula in the dataset: 78 kJ/mol of formula units
- Crystal system: monoclinic
- DFT formation energy: -0.758 eV/atom

# 4
PrEuDyCd | GGA-PBE | relaxed

Unit cell a=7.9085 b=7.9085 c=7.9085 alpha=90.00 beta=90.00 gamma=90.00
Space group F-43m (No. 216)
Inequivalent atoms, fractional coordinates:
1 Pr 0.0000 0.0000 0.0000 (multiplicity 4)
2 Eu 0.2500 0.2500 0.2500 (multiplicity 4)
3 Dy 0.0000 0.0000 0.5000 (multiplicity 4)
4 Cd 0.2500 0.2500 0.7500 (multiplicity 4)

Computed properties:
- Calculated total energy: -82.584 eV/cell
- Crystal system: cubic
- DFT formation energy: -0.019 eV/atom

# 5
CdPtO | GGA-PBE | relaxed

Unit cell a=5.7655 b=5.7655 c=20.9828 alpha=90.00 beta=90.00 gamma=120.00
Space group R3 (No. 146, hexagonal axes)
Inequivalent atoms, fractional coordinates:
1 Cd 0.0007 0.3615 0.0000 (multiplicity 9)
2 Pt 0.0000 0.0000 0.4226 (multiplicity 3)
3 Pt 0.0000 0.0000 0.5777 (multiplicity 3)
4 Pt 0.0000 0.0000 0.8324 (multiplicity 3)
5 O 0.0325 0.5834 0.1658 (multiplicity 9)

Computed properties:
- Raw formation energy: 0.026 eV per atom
- Calculated total energy: -106.515 eV/cell
- Crystal system: trigonal

# 6
LaTm4Th | GGA-PBE | relaxed

Unit cell a=3.5596 b=6.1272 c=9.3786 alpha=77.43 beta=79.08 gamma=73.19
Space group P-1 (No. 2)
Inequivalent atoms, fractional coordinates:
1 La 0.0000 0.0000 0.0000 (multiplicity 1)
2 Tm 0.3319 0.9950 0.3411 (multiplicity 2)
3 Tm 0.3330 0.5083 0.8258 (multiplicity 2)
4 Th 0.0000 0.5000 0.5000 (multiplicity 1)

Computed properties:
- Calculated total energy: -30.055 eV/cell
- Excess energy over the best structure of this formula in the dataset: 0 kJ/mol of formula units
- Crystal system: triclinic
- DFT formation energy: 0.030 eV/atom

# 7
YErBeZn | GGA-PBE | relaxed

Unit cell a=6.9710 b=6.9710 c=6.9710 alpha=90.00 beta=90.00 gamma=90.00
Space group F-43m (No. 216)
Inequivalent atoms, fractional coordinates:
1 Y 0.0000 0.0000 0.0000 (multiplicity 4)
2 Er 0.0000 0.0000 0.5000 (multiplicity 4)
3 Be 0.2500 0.2500 0.2500 (multiplicity 4)
4 Zn 0.2500 0.2500 0.7500 (multiplicity 4)

Computed properties:
- Calculated total energy: -66.087 eV/cell
- Crystal system: cubic
- DFT formation energy: -0.124 eV/atom

# 8
Ho2Ga5Tc | GGA-PBE | relaxed

Unit cell a=6.2660 b=6.2660 c=7.7696 alpha=90.00 beta=90.00 gamma=90.00
Space group I4mm (No. 107)
Inequivalent atoms, fractional coordinates:
1 Ho 0.0000 0.5000 0.0000 (multiplicity 4)
2 Ga 0.0000 0.0000 0.4837 (multiplicity 2)
3 Ga 0.2119 0.2119 0.7485 (multiplicity 8)
4 Tc 0.0000 0.0000 0.1637 (multiplicity 2)

Computed properties:
- Calculated total energy: -75.091 eV/cell
- Crystal system: tetragonal
- DFT formation energy: -0.361 eV/atom

# 9
Ac2PmNd7 | GGA-PBE | relaxed

Unit cell a=12.4230 b=17.6279 c=3.6325 alpha=90.00 beta=90.00 gamma=90.00
Space group Cmmm (No. 65)
Inequivalent atoms, fractional coordinates:
1 Ac 0.0000 0.1757 0.0000 (multiplicity 4)
2 Pm 0.0000 0.0000 0.5000 (multiplicity 2)
3 Nd 0.0000 0.3376 0.5000 (multiplicity 4)
4 Nd 0.0000 0.5000 0.0000 (multiplicity 2)
5 Nd 0.2398 0.3811 0.0000 (multiplicity 8)

Computed properties:
- Calculated total energy: -84.273 eV/cell
- Excess energy over the best structure of this formula in the dataset: 261 kJ/mol of formula units
- Crystal system: orthorhombic
- DFT formation energy: 0.421 eV/atom

# 10
NaLa2ZnB | GGA-PBE | relaxed

Unit cell a=5.6287 b=5.6287 c=4.2887 alpha=90.00 beta=90.00 gamma=90.00
Space group P4/mmm (No. 123)
Inequivalent atoms, fractional coordinates:
1 Na 0.0000 0.0000 0.0000 (multiplicity 1)
2 La 0.0000 0.5000 0.0000 (multiplicity 2)
3 Zn 0.5000 0.5000 0.5000 (multiplicity 1)
4 B 0.0000 0.0000 0.5000 (multiplicity 1)

Computed properties:
- Calculated total energy: -13.965 eV/cell
- Excess energy over the best structure of this formula in the dataset: 15 kJ/mol of formula units
- Crystal system: tetragonal
- DFT formation energy: 1.032 eV/atom

# 11
Sc2TlInCo | GGA-PBE | relaxed

Unit cell a=5.3899 b=5.3899 c=5.3721 alpha=90.00 beta=90.00 gamma=90.00
Space group P4/mmm (No. 123)
Inequivalent atoms, fractional coordinates:
1 Sc 0.0000 0.5000 0.0000 (multiplicity 2)
2 Tl 0.0000 0.0000 0.5000 (multiplicity 1)
3 In 0.0000 0.0000 0.0000 (multiplicity 1)
4 Co 0.5000 0.5000 0.5000 (multiplicity 1)

Computed properties:
- Calculated total energy: -19.390 eV/cell
- Crystal system: tetragonal
- DFT formation energy: 1.097 eV/atom

# 12
YHo2Br | GGA-PBE | relaxed

Unit cell a=3.4810 b=3.4810 c=34.4014 alpha=90.00 beta=90.00 gamma=120.00
Space group R-3m (No. 166, hexagonal axes)
Inequivalent atoms, fractional coordinates:
1 Y 0.0000 0.0000 0.0000 (multiplicity 3)
2 Ho 0.0000 0.0000 0.0981 (multiplicity 6)
3 Br 0.0000 0.0000 0.5000 (multiplicity 3)

Computed properties:
- Raw formation energy: -0.204 eV per atom
- Calculated total energy: -54.329 eV/cell
- Crystal system: trigonal